[1]
The following is a DFT calculation (GGA-PBE) of a geometry-optimized Dy3Ge5 structure.

Geometry as POSCAR:
```
Dy3Ge5
1.0
0.0000 8.6953 6.8822
2.8865 0.0000 6.8822
2.8865 8.6953 0.0000
Dy Ge
6 10
Direct
0.0000 0.0000 0.0000 Dy
0.2500 0.2500 0.2500 Dy
0.3094 0.6748 0.3547 Dy
0.5889 0.8953 0.5752 Dy
0.6748 0.3094 0.6611 Dy
0.8953 0.5889 0.9406 Dy
0.0013 0.3249 0.1733 Ge
0.0767 0.7495 0.2487 Ge
0.2233 0.4691 0.9041 Ge
0.3249 0.0013 0.5005 Ge
0.3459 0.8465 0.0267 Ge
0.4691 0.2233 0.4035 Ge
0.5521 0.5521 0.4479 Ge
0.7495 0.0767 0.9251 Ge
0.8021 0.8021 0.6979 Ge
0.8465 0.3459 0.7809 Ge
```


[2]
The following is a DFT calculation (GGA-PBE) of a geometry-optimized Dy2Ge3 structure.

Geometry as POSCAR:
```
Dy2Ge3
1.0
4.4002 0.0000 0.0000
-2.2001 3.8107 0.0000
0.0000 0.0000 7.0574
Dy Ge
2 3
Direct
0.0000 0.0000 0.2316 Dy
0.0000 0.0000 0.7684 Dy
0.3333 0.6667 0.5000 Ge
0.6667 0.3333 0.0000 Ge
0.6667 0.3333 0.5000 Ge
```


no.,M_tot (μB per atom),E (Ry per atom),ΔH_f (0 K) (eV per atom)
1,0.00,-0.3915,-0.71
2,0.00,-0.3755,-0.50